# 1
The following is a DFT calculation (PBE-GGA) of an optimized crystal structure of Ca2Sb2Pb.

## Properties
uncorrected energy	-3.864	eV per atom
formation energy (no corrections)	-0.673	eV/atom
offset from the most stable computed form	0.0	meV per atom
M_tot	0.000	μB per formula unit

a b c (Å): 9.104 9.104 3.697
angles (deg): 90.00 90.00 90.00
Space group P4/mbm (No. 127)
Inequivalent atoms, fractional coordinates:
Ca 0.139 0.361 0.000 [4 per cell]
Sb 0.161 0.661 0.500 [4 per cell]
Pb 0.000 0.000 0.500 [2 per cell]


# 2
The following is a DFT calculation (PBE-GGA) of an optimized crystal structure of CaSb2Pb.

## Properties
uncorrected energy	-3.897	eV per atom
formation energy (no corrections)	-0.408	eV/atom
M_tot	0.000	μB per formula unit

a b c (Å): 6.609 8.259 4.302
angles (deg): 90.00 90.00 90.00
Space group Cmmm (No. 65)
Inequivalent atoms, fractional coordinates:
Ca 0.000 0.000 0.000 [2 per cell]
Sb 0.250 0.250 0.500 [4 per cell]
Pb 0.000 0.500 0.000 [2 per cell]


# 3
The following is a DFT calculation (PBE-GGA) of an optimized crystal structure of CaSb2Pb.

## Properties
uncorrected energy	-3.793	eV per atom
formation energy (no corrections)	-0.304	eV/atom
M_tot	0.000	μB per formula unit

a b c (Å): 4.856 5.429 9.002
angles (deg): 90.00 90.00 90.00
Space group Cmmm (No. 65)
Inequivalent atoms, fractional coordinates:
Ca 0.000 0.000 0.000 [2 per cell]
Sb 0.000 0.500 0.241 [4 per cell]
Pb 0.000 0.000 0.500 [2 per cell]


# 4
The following is a DFT calculation (PBE-GGA) of an optimized crystal structure of CaSb2Pb.

## Properties
uncorrected energy	-3.879	eV per atom
formation energy (no corrections)	-0.390	eV/atom
M_tot	0.000	μB per formula unit

a b c (Å): 4.479 5.077 5.103
angles (deg): 90.00 90.00 90.00
Space group Pmmm (No. 47)
Inequivalent atoms, fractional coordinates:
Ca 0.000 0.000 0.000 [1 per cell]
Sb 0.500 0.000 0.500 [1 per cell]
Sb 0.500 0.500 0.000 [1 per cell]
Pb 0.000 0.500 0.500 [1 per cell]


# 5
The following is a DFT calculation (PBE-GGA) of an optimized crystal structure of Ca6SbPb3.

## Properties
uncorrected energy	-3.321	eV per atom
formation energy (no corrections)	-0.596	eV/atom
M_tot	0.000	μB per formula unit

a b c (Å): 9.385 12.774 5.378
angles (deg): 90.00 90.00 90.00
Space group Pnnm (No. 58)
Inequivalent atoms, fractional coordinates:
Ca 0.013 0.247 0.000 [4 per cell]
Ca 0.167 0.095 0.500 [4 per cell]
Ca 0.176 0.409 0.500 [4 per cell]
Sb 0.000 0.000 0.000 [2 per cell]
Pb 0.000 0.500 0.000 [2 per cell]
Pb 0.151 0.727 0.500 [4 per cell]


# 6
The following is a DFT calculation (PBE-GGA) of an optimized crystal structure of CaSb4Pb.

## Properties
uncorrected energy	-3.771	eV per atom
formation energy (no corrections)	-0.071	eV/atom
M_tot	0.000	μB per formula unit

a b c (Å): 8.964 8.964 8.964
angles (deg): 90.00 90.00 90.00
Space group F-43m (No. 216)
Inequivalent atoms, fractional coordinates:
Ca 0.000 0.000 0.000 [4 per cell]
Sb 0.125 0.125 0.375 [16 per cell]
Pb 0.250 0.250 0.750 [4 per cell]


# 7
The following is a DFT calculation (PBE-GGA) of an optimized crystal structure of CaSb2Pb4.

## Properties
uncorrected energy	-3.759	eV per atom
formation energy (no corrections)	-0.176	eV/atom
M_tot	0.000	μB per formula unit

a b c (Å): 4.385 4.398 14.526
angles (deg): 98.55 90.05 119.89
Space group P-1 (No. 2)
Inequivalent atoms, fractional coordinates:
Ca 0.000 0.000 0.000 [1 per cell]
Sb 0.287 0.575 0.862 [2 per cell]
Pb 0.144 0.288 0.432 [2 per cell]
Pb 0.419 0.836 0.255 [2 per cell]


# 8
The following is a DFT calculation (PBE-GGA) of an optimized crystal structure of Ca7Sb2Pb2.

## Properties
uncorrected energy	-3.300	eV per atom
formation energy (no corrections)	-0.602	eV/atom
M_tot	0.000	μB per formula unit

a b c (Å): 9.650 11.258 7.505
angles (deg): 90.00 90.00 90.00
Space group Cmmm (No. 65)
Inequivalent atoms, fractional coordinates:
Ca 0.000 0.000 0.000 [2 per cell]
Ca 0.000 0.500 0.262 [4 per cell]
Ca 0.250 0.250 0.266 [8 per cell]
Sb 0.000 0.278 0.000 [4 per cell]
Pb 0.209 0.000 0.500 [4 per cell]


# 9
The following is a DFT calculation (PBE-GGA) of an optimized crystal structure of CaTc2SbPb.

## Properties
uncorrected energy	-4.310	eV per atom
formation energy (no corrections)	1.803	eV/atom
M_tot	6.108	μB per formula unit

a b c (Å): 5.062 5.062 5.594
angles (deg): 90.00 90.00 90.00
Space group P4/mmm (No. 123)
Inequivalent atoms, fractional coordinates:
Ca 0.000 0.000 0.000 [1 per cell]
Tc 0.000 0.500 0.000 [2 per cell]
Sb 0.000 0.000 0.500 [1 per cell]
Pb 0.500 0.500 0.500 [1 per cell]


# 10
The following is a DFT calculation (PBE-GGA) of an optimized crystal structure of CaSb2TePb.

## Properties
uncorrected energy	-3.105	eV per atom
formation energy (no corrections)	0.314	eV/atom
offset from the most stable computed form	0.0	meV per atom
M_tot	0.000	μB per formula unit

a b c (Å): 5.832 5.832 5.859
angles (deg): 90.00 90.00 90.00
Space group P4/mmm (No. 123)
Inequivalent atoms, fractional coordinates:
Ca 0.000 0.000 0.000 [1 per cell]
Sb 0.000 0.500 0.000 [2 per cell]
Te 0.000 0.000 0.500 [1 per cell]
Pb 0.500 0.500 0.500 [1 per cell]


# 11
The following is a DFT calculation (PBE-GGA) of an optimized crystal structure of CaSb2TePb.

## Properties
uncorrected energy	-3.056	eV per atom
formation energy (no corrections)	0.363	eV/atom
offset from the most stable computed form	48.9	meV per atom
M_tot	0.000	μB per formula unit

a b c (Å): 6.094 6.094 6.124
angles (deg): 90.00 90.00 90.00
Space group P4/mmm (No. 123)
Inequivalent atoms, fractional coordinates:
Ca 0.000 0.000 0.000 [1 per cell]
Sb 0.000 0.500 0.500 [2 per cell]
Te 0.500 0.500 0.500 [1 per cell]
Pb 0.500 0.500 0.000 [1 per cell]


# 12
The following is a DFT calculation (PBE-GGA) of an optimized crystal structure of CaTl2Sb2Pb.

## Properties
uncorrected energy	-3.391	eV per atom
formation energy (no corrections)	-0.276	eV/atom
M_tot	0.000	μB per formula unit

a b c (Å): 4.844 10.848 7.444
angles (deg): 90.00 90.00 90.00
Space group Pmc2_1 (No. 26)
Inequivalent atoms, fractional coordinates:
Ca 0.000 0.083 0.000 [2 per cell]
Tl 0.000 0.319 0.352 [2 per cell]
Tl 0.500 0.450 0.082 [2 per cell]
Sb 0.000 0.358 0.788 [2 per cell]
Sb 0.500 0.092 0.290 [2 per cell]
Pb 0.500 0.192 0.680 [2 per cell]


# 13
The following is a DFT calculation (PBE-GGA) of an optimized crystal structure of CaTlSb2Pb.

## Properties
uncorrected energy	-2.848	eV per atom
formation energy (no corrections)	0.416	eV/atom
M_tot	0.000	μB per formula unit

a b c (Å): 5.746 5.746 5.693
angles (deg): 90.00 90.00 90.00
Space group P4/mmm (No. 123)
Inequivalent atoms, fractional coordinates:
Ca 0.000 0.000 0.000 [1 per cell]
Tl 0.000 0.000 0.500 [1 per cell]
Sb 0.000 0.500 0.500 [2 per cell]
Pb 0.500 0.500 0.000 [1 per cell]


# 14
The following is a DFT calculation (PBE-GGA) of an optimized crystal structure of CaSc2Pb2.

## Properties
uncorrected energy	-4.724	eV per atom
offset from the most stable computed form	56.1	meV per atom
energy relative to the elements	-0.307	eV/atom
M_tot	0.597	μB per formula unit

a b c (Å): 8.801 8.801 3.460
angles (deg): 90.00 90.00 90.00
Space group P4/mbm (No. 127)
Inequivalent atoms, fractional coordinates:
Ca 0.000 0.000 0.000 [2 per cell]
Sc 0.122 0.378 0.000 [4 per cell]
Pb 0.175 0.675 0.500 [4 per cell]


# 15
The following is a DFT calculation (PBE-GGA) of an optimized crystal structure of CaScPb4.

## Properties
uncorrected energy	-3.873	eV per atom
energy relative to the elements	-0.012	eV/atom
M_tot	0.000	μB per formula unit

a b c (Å): 9.110 9.110 9.110
angles (deg): 90.00 90.00 90.00
Space group F-43m (No. 216)
Inequivalent atoms, fractional coordinates:
Ca 0.000 0.000 0.000 [4 per cell]
Sc 0.250 0.250 0.250 [4 per cell]
Pb 0.125 0.125 0.625 [16 per cell]


# 16
The following is a DFT calculation (PBE-GGA) of an optimized crystal structure of Ca4ScPb.

## Properties
uncorrected energy	-2.712	eV per atom
energy relative to the elements	0.296	eV/atom
M_tot	1.840	μB per formula unit

a b c (Å): 9.493 9.493 9.493
angles (deg): 90.00 90.00 90.00
Space group F-43m (No. 216)
Inequivalent atoms, fractional coordinates:
Ca 0.124 0.124 0.376 [16 per cell]
Sc 0.250 0.250 0.750 [4 per cell]
Pb 0.000 0.000 0.000 [4 per cell]


# 17
The following is a DFT calculation (PBE-GGA) of an optimized crystal structure of CaScPb6.

## Properties
uncorrected energy	-4.053	eV per atom
energy relative to the elements	-0.230	eV/atom
M_tot	0.000	μB per formula unit

a b c (Å): 4.912 4.912 9.585
angles (deg): 90.00 90.00 90.00
Space group P4/mmm (No. 123)
Inequivalent atoms, fractional coordinates:
Ca 0.000 0.000 0.000 [1 per cell]
Sc 0.000 0.000 0.500 [1 per cell]
Pb 0.000 0.500 0.258 [4 per cell]
Pb 0.500 0.500 0.000 [1 per cell]
Pb 0.500 0.500 0.500 [1 per cell]


# 18
The following is a DFT calculation (PBE-GGA) of an optimized crystal structure of Ca3ScPb4.

## Properties
uncorrected energy	-3.867	eV per atom
energy relative to the elements	-0.470	eV/atom
M_tot	0.000	μB per formula unit

a b c (Å): 3.554 3.554 18.033
angles (deg): 90.00 90.00 90.00
Space group P4/mmm (No. 123)
Inequivalent atoms, fractional coordinates:
Ca 0.000 0.000 0.000 [1 per cell]
Ca 0.000 0.000 0.255 [2 per cell]
Sc 0.000 0.000 0.500 [1 per cell]
Pb 0.500 0.500 0.128 [2 per cell]
Pb 0.500 0.500 0.386 [2 per cell]


# 19
The following is a DFT calculation (PBE-GGA) of an optimized crystal structure of CaSc2Pb2.

## Properties
uncorrected energy	-4.780	eV per atom
offset from the most stable computed form	0.0	meV per atom
energy relative to the elements	-0.364	eV/atom
M_tot	0.526	μB per formula unit

a b c (Å): 8.733 8.733 3.561
angles (deg): 90.00 90.00 90.00
Space group P4/mbm (No. 127)
Inequivalent atoms, fractional coordinates:
Ca 0.000 0.000 0.000 [2 per cell]
Sc 0.133 0.367 0.500 [4 per cell]
Pb 0.164 0.664 0.000 [4 per cell]


# 20
The following is a DFT calculation (PBE-GGA) of an optimized crystal structure of CaSc3Pb.

## Properties
uncorrected energy	-4.611	eV per atom
offset from the most stable computed form	0.0	meV per atom
energy relative to the elements	0.330	eV/atom
M_tot	0.979	μB per formula unit

a b c (Å): 5.538 5.538 5.538
angles (deg): 90.00 90.00 90.00
Space group Pm-3m (No. 221)
Inequivalent atoms, fractional coordinates:
Ca 0.000 0.000 0.000 [1 per cell]
Sc 0.000 0.500 0.500 [3 per cell]
Pb 0.500 0.500 0.500 [1 per cell]


# 21
The following is a DFT calculation (PBE-GGA) of an optimized crystal structure of CaSc2Pb2.

## Properties
uncorrected energy	-4.700	eV per atom
offset from the most stable computed form	79.5	meV per atom
energy relative to the elements	-0.284	eV/atom
M_tot	0.303	μB per formula unit

a b c (Å): 4.708 4.708 13.319
angles (deg): 90.00 90.00 90.00
Space group I4/mmm (No. 139)
Inequivalent atoms, fractional coordinates:
Ca 0.000 0.000 0.000 [2 per cell]
Sc 0.000 0.500 0.250 [4 per cell]
Pb 0.000 0.000 0.386 [4 per cell]


# 22
The following is a DFT calculation (PBE-GGA) of an optimized crystal structure of CaSc3Pb.

## Properties
uncorrected energy	-3.945	eV per atom
offset from the most stable computed form	666.2	meV per atom
energy relative to the elements	0.996	eV/atom
M_tot	0.000	μB per formula unit

a b c (Å): 5.227 5.227 5.227
angles (deg): 90.00 90.00 90.00
Space group Pm-3m (No. 221)
Inequivalent atoms, fractional coordinates:
Ca 0.000 0.000 0.000 [1 per cell]
Sc 0.000 0.000 0.500 [3 per cell]
Pb 0.500 0.500 0.500 [1 per cell]


# 23
The following is a DFT calculation (PBE-GGA) of an optimized crystal structure of Ca5ScPb6.

## Properties
uncorrected energy	-3.698	eV per atom
energy relative to the elements	-0.482	eV/atom
M_tot	0.000	μB per formula unit

a b c (Å): 17.017 7.238 5.761
angles (deg): 90.00 97.72 90.00
Space group C2/m (No. 12)
Inequivalent atoms, fractional coordinates:
Ca 0.000 0.000 0.000 [2 per cell]
Ca 0.168 0.000 0.678 [4 per cell]
Ca 0.175 0.500 0.693 [4 per cell]
Sc 0.000 0.500 0.000 [2 per cell]
Pb 0.000 0.270 0.500 [4 per cell]
Pb 0.158 0.262 0.181 [8 per cell]


# 24
The following is a DFT calculation (PBE-GGA) of an optimized crystal structure of CaScSnPb.

## Properties
uncorrected energy	-4.416	eV per atom
energy relative to the elements	-0.405	eV/atom
M_tot	0.000	μB per formula unit

a b c (Å): 7.525 7.525 7.525
angles (deg): 90.00 90.00 90.00
Space group F-43m (No. 216)
Inequivalent atoms, fractional coordinates:
Ca 0.000 0.000 0.000 [4 per cell]
Sc 0.000 0.000 0.500 [4 per cell]
Sn 0.250 0.250 0.250 [4 per cell]
Pb 0.250 0.250 0.750 [4 per cell]


# 25
The following is a DFT calculation (PBE-GGA) of an optimized crystal structure of SrCaSc2Pb.

## Properties
uncorrected energy	-3.405	eV per atom
energy relative to the elements	0.606	eV/atom
M_tot	0.002	μB per formula unit

a b c (Å): 5.459 5.459 5.825
angles (deg): 90.00 90.00 90.00
Space group P4/mmm (No. 123)
Inequivalent atoms, fractional coordinates:
Sr 0.000 0.000 0.000 [1 per cell]
Ca 0.500 0.500 0.500 [1 per cell]
Sc 0.000 0.500 0.500 [2 per cell]
Pb 0.500 0.500 0.000 [1 per cell]


# 26
The following is a DFT calculation (PBE-GGA) of an optimized crystal structure of CaScTlPb.

## Properties
uncorrected energy	-3.922	eV per atom
energy relative to the elements	-0.320	eV/atom
M_tot	0.000	μB per formula unit

a b c (Å): 7.541 7.541 7.541
angles (deg): 90.00 90.00 90.00
Space group F-43m (No. 216)
Inequivalent atoms, fractional coordinates:
Ca 0.000 0.000 0.000 [4 per cell]
Sc 0.000 0.000 0.500 [4 per cell]
Tl 0.250 0.250 0.750 [4 per cell]
Pb 0.250 0.250 0.250 [4 per cell]